YFe2F2 | the Alexandria database | PBE+U | relaxed; mass density = 4.6 g cm⁻³; uncorrected energy = -25.8 eV for the cell shown
1.0
3.3510 0.0000 0.0000
0.0000 3.3510 0.0000
1.6755 1.6755 7.6383
F Fe Y
2 2 1
direct
0.4264 0.4264 0.1473 F
0.5736 0.5736 0.8527 F
0.7500 0.2500 0.5000 Fe
0.2500 0.7500 0.5000 Fe
0.0000 0.0000 0.0000 Y